(1)
TmZrSc2Sb4 | PBE-GGA | optimized geometry

```
TmZrSc2Sb4
1.0
-3.056 -2.480 -1.451
3.971 -5.863 1.657
-4.140 1.779 5.679
Sb Sc Zr Tm
4 2 1 1
direct
0.500 0.753 0.745
0.000 0.242 0.742
0.000 0.758 0.258
0.500 0.247 0.255
0.500 0.000 0.500
0.000 0.500 0.500
0.000 0.000 0.000
0.500 0.500 0.000
```

Results
Symmetry   No. 10

=====

(2)
ScUSb2 | PBE-GGA | optimized geometry

```
ScUSb2
1.0
3.764 0.000 0.000
0.000 5.118 0.000
0.000 0.000 5.118
Sb U Sc
2 1 1
direct
0.000 0.000 0.500
0.000 0.500 0.000
0.500 0.000 0.000
0.500 0.500 0.500
```

Results
Symmetry   No. 123
E above lowest polymorph   155 meV per atom

=====

(3)
Sc2USb3 | PBE-GGA | optimized geometry

```
Sc2USb3
1.0
-5.440 2.075 1.495
-1.087 -5.061 3.070
4.007 6.279 5.871
Sb Sc U
6 4 2
direct
0.500 0.333 0.667
0.000 0.161 0.323
0.000 0.839 0.677
0.500 0.000 0.000
0.000 0.500 0.000
0.500 0.667 0.333
0.500 0.165 0.329
0.000 0.000 0.000
0.500 0.500 0.000
0.500 0.835 0.671
0.000 0.668 0.337
0.000 0.332 0.663
```

Results
Symmetry   No. 65

=====

(4)
ScUSb2 | PBE-GGA | optimized geometry

```
ScUSb2
1.0
-3.396 -2.020 -1.508
0.212 -4.133 -0.873
-3.108 -3.557 5.835
Sc U Sb
1 1 2
direct
0.000 0.000 0.000
0.500 0.500 0.500
0.256 0.256 0.233
0.744 0.744 0.767
```

Results
Symmetry   No. 166
E above lowest polymorph   0 meV per atom

=====

(5)
Sc3USb4 | PBE-GGA | optimized geometry

```
Sc3USb4
1.0
4.204 -0.050 0.075
0.058 7.026 2.026
-0.114 0.383 7.302
Sc U Sb
3 1 4
direct
0.500 0.000 0.500
0.000 0.000 0.000
0.000 0.500 0.500
0.500 0.500 0.000
0.000 0.238 0.262
0.000 0.762 0.738
0.500 0.754 0.254
0.500 0.246 0.746
```

Results
Symmetry   No. 12

=====

(6)
ScUSb2 | PBE-GGA | optimized geometry

```
ScUSb2
1.0
4.118 0.000 0.000
2.059 3.567 0.000
2.059 1.189 7.520
Sc U Sb
1 1 2
direct
0.668 0.668 0.995
0.499 0.499 0.504
0.256 0.256 0.231
0.077 0.077 0.770
```

Results
Symmetry   No. 160
E above lowest polymorph   64 meV per atom

=====

(7)
ScV2Sb | PBE-GGA | optimized geometry

```
ScV2Sb
1.0
-4.209 6.184 -0.500
-3.873 -2.147 6.049
-2.247 3.371 4.404
V Sc Sb
4 2 2
direct
0.103 0.625 0.250
0.375 0.353 0.750
0.875 0.897 0.750
0.647 0.125 0.250
0.250 0.750 0.500
0.500 0.500 0.000
0.000 0.000 0.000
0.750 0.250 0.500
```

Results
Symmetry   No. 122

=====

(8)
Sc2VSb2 | PBE-GGA | optimized geometry

```
Sc2VSb2
1.0
7.289 0.000 0.000
0.000 7.289 0.000
0.000 0.000 4.103
V Sb Sc
2 4 4
direct
0.000 0.000 0.000
0.500 0.500 0.000
0.650 0.150 0.000
0.850 0.650 0.000
0.350 0.850 0.000
0.150 0.350 0.000
0.342 0.158 0.500
0.158 0.658 0.500
0.842 0.342 0.500
0.658 0.842 0.500
```

Results
Symmetry   No. 127

=====

What M_tot values result from the calculations? In sequence: 0.00; 2.92; 2.73; 2.65; 2.52; 2.90; 0.00; 2.00 μB/f.u..
What ρ values result from the calculations? In sequence: 6.66; 8.87; 7.08; 7.95; 6.72; 7.91; 5.72; 5.86 Mg/m³.
What formation energy from raw total energies values result from the calculations? In sequence: -0.88; -0.41; -0.65; -0.57; -0.74; -0.50; 0.52; -0.48 eV per atom.